one | This record from Alexandria describes a geometry-optimized CsHfNbSn2 structure. The functional is PBE.

Structure (POSCAR):
```
CsHfNbSn2
1.0
5.5560 0.0000 0.0000
0.0000 5.5560 0.0000
0.0000 0.0000 5.9793
Cs Hf Nb Sn
1 1 1 2
direct
0.0000 0.0000 0.0000
0.0000 0.0000 0.5000
0.5000 0.5000 0.0000
0.0000 0.5000 0.5000
0.5000 0.0000 0.5000
```

Values from the calculation:
Symmetry: P4/mmm, No. 123
Total moment, μB/f.u.: 4.162

two | This record from Alexandria describes a geometry-optimized CsHfNbSn2 structure. The functional is PBE.

Structure (POSCAR):
```
CsHfNbSn2
1.0
5.6817 0.0000 0.0000
0.0000 5.6817 0.0000
0.0000 0.0000 5.2612
Cs Hf Nb Sn
1 1 1 2
direct
0.0000 0.0000 0.0000
0.0000 0.0000 0.5000
0.5000 0.5000 0.5000
0.0000 0.5000 0.0000
0.5000 0.0000 0.0000
```

Values from the calculation:
Symmetry: P4/mmm, No. 123
Total moment, μB/f.u.: 0.001

Which is less stable than every other structure shown? two is.